Record 1
A plane-wave DFT calculation with PBE was carried out for an optimized crystal structure of AcNdInSn.

Output
Energy relative to the lowest polymorph listed for this composition: 93 meV/atom
Energy relative to the elements: -0.51 eV/atom

Unit cell a=7.9935 b=7.9935 c=7.9935 alpha=90.00 beta=90.00 gamma=90.00
Space group F-43m (No. 216)
Asymmetric unit:
Ac  0.0000  0.0000  0.0000 (multiplicity 4)
Nd  0.0000  0.0000  0.5000 (multiplicity 4)
In  0.2500  0.2500  0.7500 (multiplicity 4)
Sn  0.2500  0.2500  0.2500 (multiplicity 4)

***

Record 2
A plane-wave DFT calculation with PBE was carried out for an optimized crystal structure of AcNdInSn.

Output
Energy relative to the lowest polymorph listed for this composition: 0 meV/atom
Energy relative to the elements: -0.60 eV/atom

Unit cell a=4.5105 b=4.8360 c=12.2445 alpha=90.00 beta=90.00 gamma=90.00
Space group Amm2 (No. 38)
Asymmetric unit:
Ac  0.0000  0.0000  0.0000 (multiplicity 2)
Nd  0.5000  0.0000  0.7216 (multiplicity 2)
In  0.5000  0.0000  0.4357 (multiplicity 2)
Sn  0.0000  0.0000  0.2754 (multiplicity 2)

***

Record 3
A plane-wave DFT calculation with PBE was carried out for an optimized crystal structure of AcNd2In3Te6.

Output
Uncorrected formation energy: -1009 meV per atom

Unit cell a=7.9942 b=13.8344 c=8.5354 alpha=90.00 beta=108.16 gamma=90.00
Space group C2/m (No. 12)
Asymmetric unit:
Ac  0.0000  0.0000  0.0000 (multiplicity 2)
Nd  0.0000  0.3331  0.0000 (multiplicity 4)
In  0.0000  0.1646  0.5000 (multiplicity 4)
In  0.0000  0.5000  0.5000 (multiplicity 2)
Te  0.2305  0.5000  0.2268 (multiplicity 4)
Te  0.2492  0.1724  0.2299 (multiplicity 8)

***

Record 4
A plane-wave DFT calculation with PBE was carried out for an optimized crystal structure of Ac3Nd3TlIn2.

Output
Energy relative to the elements: -0.24 eV/atom

Unit cell a=9.5779 b=9.5779 c=3.9616 alpha=90.00 beta=90.00 gamma=120.00
Space group P-62m (No. 189)
Asymmetric unit:
Ac  0.0000  0.7153  0.0000 (multiplicity 3)
Nd  0.0000  0.3912  0.5000 (multiplicity 3)
Tl  0.0000  0.0000  0.5000 (multiplicity 1)
In  0.3333  0.6667  0.0000 (multiplicity 2)

***

Record 5
A plane-wave DFT calculation with PBE was carried out for an optimized crystal structure of AcNd2Tl2In2.

Output
Energy relative to the elements: -0.21 eV/atom

Unit cell a=5.1358 b=5.1358 c=29.2841 alpha=90.00 beta=90.00 gamma=120.00
Space group R-3m (No. 166, hexagonal axes)
Asymmetric unit:
Ac  0.0000  0.0000  0.0000 (multiplicity 3)
Nd  0.0000  0.0000  0.1328 (multiplicity 6)
Tl  0.0000  0.0000  0.4260 (multiplicity 6)
In  0.0000  0.0000  0.2677 (multiplicity 6)

***

Record 6
A plane-wave DFT calculation with PBE was carried out for an optimized crystal structure of AcNdTmIn.

Output
Energy relative to the elements: -0.04 eV/atom

Unit cell a=7.9760 b=7.9760 c=7.9760 alpha=90.00 beta=90.00 gamma=90.00
Space group F-43m (No. 216)
Asymmetric unit:
Ac  0.0000  0.0000  0.0000 (multiplicity 4)
Nd  0.2500  0.2500  0.7500 (multiplicity 4)
Tm  0.2500  0.2500  0.2500 (multiplicity 4)
In  0.0000  0.0000  0.5000 (multiplicity 4)

***

Number 1: calculated density 7.9 g/cm³, E_tot -4.411 eV/atom. Number 2: calculated density 7.5 g/cm³, E_tot -4.504 eV/atom. Number 3: calculated density 6.0 g/cm³, E_tot -4.402 eV/atom. Number 4: calculated density 8.2 g/cm³, E_tot -4.075 eV/atom. Number 5: calculated density 8.6 g/cm³, E_tot -3.616 eV/atom. Number 6: calculated density 8.6 g/cm³, E_tot -4.064 eV/atom.